Record 1
12
Lattice="-1.367 6.428 0.407 1.611 5.670 -3.980 -2.789 -6.294 1.787" Properties=species:S:1:pos:R:3 comment="BC2 (PBE-GGA, relaxed)" final_energy_ev_per_cell=-96.641 spacegroup="No. 12" formation_energy_ev_per_atom=0.32 magmom_total_mub_per_fu=0.000 pbc="T T T"
B -2.600 4.020 0.253
B -1.037 3.507 -0.441
B -1.622 2.128 0.266
B -0.059 1.614 -0.428
C -0.050 0.006 0.025
C -1.151 5.267 -2.382
C -1.048 3.809 -2.022
C 0.178 3.151 -2.494
C 0.141 1.725 -2.068
C 0.000 7.494 -2.133
C 0.103 6.037 -1.773
C -1.242 -0.800 -0.607


Record 2
3
Lattice="3.853 0.000 0.000 0.000 3.853 0.000 -1.927 -1.927 3.240" Properties=species:S:1:pos:R:3 comment="PuTcN (PBE-GGA, relaxed)" formation_energy_uncorrected_mev_per_atom=404 final_energy_ev_per_cell=-31.810 spacegroup="No. 107" magmom_total_mub_per_fu=3.513 pbc="T T T"
Pu 1.927 1.927 2.822
Tc 0.000 0.000 1.989
N 1.927 1.927 0.698


Record 3
10
Lattice="4.345 0.000 0.000 0.000 4.345 0.000 0.000 0.000 10.562" Properties=species:S:1:pos:R:3 comment="LiLa2Ga4Pt3 (PBE-GGA, relaxed)" final_energy_ev_per_cell=-50.950 spacegroup="No. 115" formation_energy_ev_per_atom=-0.90 magmom_total_mub_per_fu=0.000 pbc="T T T"
Li 2.172 2.172 5.281
La 2.172 0.000 2.555
La 0.000 2.172 8.007
Ga 2.172 2.172 0.000
Ga 0.000 0.000 0.000
Ga 2.172 0.000 6.627
Ga 0.000 2.172 3.935
Pt 0.000 0.000 5.281
Pt 2.172 0.000 9.155
Pt 0.000 2.172 1.407


Record 4
6
Lattice="-0.848 3.050 -2.041 -3.202 0.389 1.944 2.661 3.264 4.632" Properties=species:S:1:pos:R:3 comment="AlNiAu (PBE-GGA, relaxed)" final_energy_ev_per_cell=-27.835 spacegroup="No. 12" formation_energy_ev_per_atom=-0.37 magmom_total_mub_per_fu=0.000 pbc="T T T"
Al -0.690 3.293 0.017
Al -0.699 3.409 4.518
Ni -3.044 2.584 -0.073
Ni -1.006 0.854 -0.024
Au -1.634 2.247 2.364
Au 0.245 4.455 2.172


Record 5
16
Lattice="6.515 0.000 -3.075 -1.452 6.351 -3.075 -0.376 -0.471 7.643" Properties=species:S:1:pos:R:3 comment="Hf5Fe2Au (PBE-GGA, relaxed)" final_energy_ev_per_cell=-144.364 spacegroup="No. 140" formation_energy_ev_per_atom=-0.28 magmom_total_mub_per_fu=0.000 pbc="T T T"
Hf 2.063 4.154 1.769
Hf 3.629 6.118 -3.352
Hf 0.000 0.000 0.000
Hf 2.532 3.176 -3.075
Hf 1.058 -0.238 4.844
Hf 4.038 0.979 2.717
Hf -0.916 2.937 3.896
Hf 0.650 4.902 -1.225
Hf 5.604 2.943 -2.404
Hf 2.624 1.726 -0.277
Fe 0.364 2.307 -1.538
Fe 3.950 0.869 -2.379
Fe 1.113 5.482 -3.772
Fe 4.699 4.044 -4.613
Au 3.610 4.528 -0.792
Au 1.078 1.352 2.284


Record 6
8
Lattice="6.816 0.000 0.000 0.000 6.816 0.000 3.408 3.408 2.499" Properties=species:S:1:pos:R:3 comment="MgFe2Ni (PBE-GGA, relaxed)" final_energy_ev_per_cell=-45.221 spacegroup="No. 122" formation_energy_ev_per_atom=0.42 magmom_total_mub_per_fu=5.988 pbc="T T T"
Ni 0.000 0.000 0.000
Ni 6.816 3.408 1.250
Mg 3.408 3.408 0.000
Mg 3.408 6.816 1.250
Fe 5.412 1.704 0.625
Fe 1.404 5.112 0.625
Fe 5.112 4.812 1.874
Fe 8.520 8.820 1.874


Record 7
5
Lattice="5.501 0.000 0.000 0.000 5.501 0.000 0.000 0.000 5.501" Properties=species:S:1:pos:R:3 comment="ScInSb3 (PBE-GGA, relaxed)" formation_energy_uncorrected_mev_per_atom=97 final_energy_ev_per_cell=-20.954 spacegroup="No. 221" magmom_total_mub_per_fu=0.000 pbc="T T T"
Sc 0.000 0.000 0.000
Sb 0.000 2.750 0.000
Sb 0.000 0.000 2.750
Sb 2.750 0.000 0.000
In 2.750 2.750 2.750


Record 8
10
Lattice="-2.716 5.361 3.724 -4.817 1.076 -5.063 -2.954 -3.005 2.172" Properties=species:S:1:pos:R:3 comment="Ca2AlGa2 (PBE-GGA, relaxed)" final_energy_ev_per_cell=-31.326 spacegroup="No. 127" formation_energy_ev_per_atom=-0.37 magmom_total_mub_per_fu=0.000 pbc="T T T"
Ca -5.203 0.161 -1.680
Ca -7.285 3.003 -0.578
Ca -5.284 3.271 2.512
Ca -3.203 0.429 1.411
Al 0.000 0.000 0.000
Al -3.766 3.219 -0.670
Ga -5.194 2.918 -3.027
Ga -5.398 5.341 0.048
Ga -2.339 3.519 1.687
Ga -2.135 1.096 -1.387


Record 9
4
Lattice="3.440 0.000 0.000 0.000 4.753 0.000 0.000 0.000 4.753" Properties=species:S:1:pos:R:3 comment="ZnSb2Os (PBE-GGA, relaxed)" formation_energy_uncorrected_mev_per_atom=614 final_energy_ev_per_cell=-18.291 spacegroup="No. 123" magmom_total_mub_per_fu=0.000 pbc="T T T"
Os 1.720 0.000 2.376
Sb 0.000 0.000 0.000
Sb 0.000 2.376 2.376
Zn 1.720 2.376 0.000


Record 10
80
Lattice="15.883 0.000 0.000 -5.294 14.974 0.000 -5.294 -7.487 12.968" Properties=species:S:1:pos:R:3 comment="In5Hg12I3 (PBE-GGA, relaxed)" formation_energy_uncorrected_mev_per_atom=9 final_energy_ev_per_cell=-87.116 spacegroup="No. 230" magmom_total_mub_per_fu=0.000 pbc="T T T"
I 9.265 4.679 1.621
I 9.265 10.295 1.621
I -1.324 6.551 8.105
I 1.324 -0.936 4.863
I 11.912 0.000 3.242
I 1.324 7.487 3.242
I 3.971 0.000 9.726
I -6.618 7.487 9.726
I 3.971 8.423 8.105
I 6.618 0.936 4.863
I -3.971 -2.808 11.347
I -3.971 2.808 11.347
In -1.324 3.744 3.242
In -2.647 7.487 0.000
In 0.000 0.000 0.000
In 3.971 2.808 1.621
In 5.294 -3.744 6.484
In 5.294 7.487 0.000
In -3.971 8.423 4.863
In 6.618 -4.679 11.347
In 6.618 6.551 4.863
In 1.324 -3.744 9.726
In 3.971 11.231 3.242
In 2.647 3.744 6.484
In 7.941 0.000 0.000
In -2.647 -3.744 6.484
In -1.324 0.936 8.105
In -1.324 12.167 1.621
In -5.294 3.744 6.484
In 9.265 -0.936 8.105
In 1.324 4.679 11.347
In 6.618 3.744 9.726
Hg 10.667 1.074 0.389
Hg -0.079 4.618 5.748
Hg 11.686 4.021 3.754
Hg 6.844 2.503 1.125
Hg 2.543 5.545 8.825
Hg 11.503 6.985 2.341
Hg -1.097 9.005 4.879
Hg -4.197 12.471 1.125
Hg 0.104 9.430 8.825
Hg 7.027 7.989 2.341
Hg 7.863 3.944 5.359
Hg 7.863 13.900 0.389
Hg -5.190 6.672 6.873
Hg 3.561 5.711 1.605
Hg -5.216 11.031 5.359
Hg 2.568 -2.869 7.220
Hg -0.104 1.127 2.730
Hg 3.561 9.766 0.736
Hg 6.844 10.953 3.754
Hg -0.914 5.209 0.736
Hg -2.751 8.614 10.238
Hg 3.744 5.969 4.879
Hg 7.837 8.303 6.873
Hg 6.209 -1.776 11.363
Hg 1.550 1.518 8.089
Hg -2.543 -0.816 6.095
Hg -0.914 9.264 1.605
Hg -1.550 -3.466 9.214
Hg 8.046 -1.127 2.730
Hg 6.209 2.279 12.232
Hg 1.733 -2.279 12.232
Hg 2.726 10.357 5.748
Hg 5.398 6.360 10.238
Hg 10.510 -3.544 7.609
Hg 10.484 0.816 6.095
Hg -2.568 -6.413 12.579
Hg 1.733 1.776 11.363
Hg 5.190 -1.943 4.143
Hg -1.733 -0.502 10.627
Hg -2.568 3.544 7.609
Hg 9.491 -4.984 11.843
Hg 6.391 -1.518 8.089
Hg -1.550 4.984 11.843
Hg -6.209 0.502 10.627
Hg 2.751 1.943 4.143
Hg -6.391 3.466 9.214
Hg 5.373 2.869 7.220
Hg -5.373 6.413 12.579


Record 11
4
Lattice="2.985 0.000 0.000 0.000 4.970 0.000 0.000 0.000 5.189" Properties=species:S:1:pos:R:3 comment="KTa2Rh (PBE-GGA, relaxed)" final_energy_ev_per_cell=-27.982 spacegroup="No. 47" formation_energy_ev_per_atom=1.04 magmom_total_mub_per_fu=0.004 pbc="T T T"
K 1.492 0.000 2.594
Rh 0.000 2.485 2.594
Ta 0.000 0.000 0.000
Ta 1.492 2.485 0.000


Record 12
4
Lattice="2.796 0.024 0.000 -0.639 2.722 0.000 0.000 0.000 8.824" Properties=species:S:1:pos:R:3 comment="ScPtW2 (PBE-GGA, relaxed)" final_energy_ev_per_cell=-38.811 spacegroup="No. 35" formation_energy_ev_per_atom=-0.13 magmom_total_mub_per_fu=0.000 pbc="T T T"
Pt 0.000 0.000 4.359
Sc 1.079 1.373 6.528
W 0.000 0.000 0.074
W 1.079 1.373 2.276


Record 13
12
Lattice="6.269 0.769 0.000 -2.091 5.960 0.000 -2.089 -3.365 4.920" Properties=species:S:1:pos:R:3 comment="AcPuHg2O8 (PBE-GGA, relaxed)" formation_energy_uncorrected_mev_per_atom=-1372 final_energy_ev_per_cell=-75.178 spacegroup="No. 119" magmom_total_mub_per_fu=0.683 pbc="T T T"
Ac 0.000 0.000 0.000
Pu -1.046 2.980 2.460
Hg 3.135 0.385 2.460
Hg 2.089 3.365 0.000
O 1.475 -0.790 1.670
O 0.299 2.460 1.044
O -0.017 -2.006 3.876
O 2.818 -1.624 3.250
O 3.880 4.270 1.044
O 4.794 1.559 1.670
O 3.451 2.393 3.250
O 0.017 2.006 3.876


Record 14
4
Lattice="-4.826 1.385 -0.759 -2.786 -2.341 -3.542 -3.778 -3.100 1.380" Properties=species:S:1:pos:R:3 comment="UCdInAg (PBE-GGA, relaxed)" final_energy_ev_per_cell=-16.873 spacegroup="No. 216" formation_energy_ev_per_atom=0.23 magmom_total_mub_per_fu=2.819 pbc="T T T"
Cd -2.847 -1.014 -0.730
U 0.000 0.000 0.000
Ag -8.542 -3.042 -2.190
In -5.695 -2.028 -1.460


Record 15
5
Lattice="-3.427 -0.821 -2.898 3.008 -1.147 -3.233 -0.146 -4.339 1.403" Properties=species:S:1:pos:R:3 comment="NaGe3O (PBE-GGA, relaxed)" formation_energy_uncorrected_mev_per_atom=-41 final_energy_ev_per_cell=-20.332 spacegroup="No. 221" magmom_total_mub_per_fu=0.000 pbc="T T T"
Na -0.283 -3.154 -2.364
Ge 1.504 -0.573 -1.617
Ge -0.073 -2.170 0.702
Ge -1.714 -0.411 -1.449
O 0.000 0.000 0.000


Record 16
20
Lattice="-3.076 5.996 -3.112 2.490 -2.307 -6.905 -9.098 -2.600 3.984" Properties=species:S:1:pos:R:3 comment="Li3AcSn (PBE-GGA, relaxed)" final_energy_ev_per_cell=-60.198 spacegroup="No. 14" formation_energy_ev_per_atom=-0.24 magmom_total_mub_per_fu=0.000 pbc="T T T"
Li -4.214 -0.002 0.568
Li -5.471 1.092 -6.601
Li -0.632 1.827 -8.301
Li -9.053 -0.738 2.267
Li -2.407 0.275 -6.264
Li -7.278 0.814 0.231
Li -1.302 -0.666 -0.318
Li -8.383 1.756 -5.716
Li -4.136 -1.645 -1.434
Li -5.549 2.735 -4.600
Li -9.377 0.030 -1.878
Li -0.307 1.060 -4.155
Ac -3.291 3.753 -6.589
Ac -6.393 -2.663 0.555
Ac -3.162 1.206 -2.770
Ac -6.522 -0.116 -3.263
Sn -3.663 -2.131 -4.085
Sn -6.022 3.220 -1.949
Sn -10.284 1.361 0.334
Sn 0.599 -0.271 -6.367


Record 17
8
Lattice="8.463 0.000 0.000 0.000 8.463 0.000 4.231 4.231 2.428" Properties=species:S:1:pos:R:3 comment="SrGa2O (PBE-GGA, relaxed)" formation_energy_uncorrected_mev_per_atom=-706 final_energy_ev_per_cell=-31.033 spacegroup="No. 122" magmom_total_mub_per_fu=0.000 pbc="T T T"
Sr 0.000 0.000 0.000
Sr 8.463 4.231 1.214
O 4.231 4.231 0.000
O 4.231 8.463 1.214
Ga 5.660 2.116 0.607
Ga 2.803 6.347 0.607
Ga 6.347 7.034 1.821
Ga 10.578 9.892 1.821


Record 18
4
Lattice="-4.417 -2.798 0.831 0.237 -5.277 0.359 -0.791 -2.375 4.666" Properties=species:S:1:pos:R:3 comment="PmThMgGe (PBE-GGA, relaxed)" final_energy_ev_per_cell=-19.323 spacegroup="No. 216" formation_energy_ev_per_atom=-0.24 magmom_total_mub_per_fu=0.000 pbc="T T T"
Ge -1.243 -2.612 1.464
Mg -3.728 -7.837 4.391
Th -2.485 -5.225 2.928
Pm 0.000 0.000 0.000


Record 19
4
Lattice="-0.986 -3.723 -3.364 2.472 -0.124 -4.475 3.491 -3.629 -0.894" Properties=species:S:1:pos:R:3 comment="MgPaZnPb (PBE-GGA, relaxed)" final_energy_ev_per_cell=-15.599 spacegroup="No. 216" formation_energy_ev_per_atom=0.12 magmom_total_mub_per_fu=0.604 pbc="T T T"
Pb 2.488 -3.738 -4.366
Zn 0.000 0.000 0.000
Pa 3.732 -5.607 -6.550
Mg 1.244 -1.869 -2.183